EuY2Sb: relaxed, PBE.

abc: 4.925 4.925 4.762
angles: 90.00 90.00 90.00
Space group P4/mmm (No. 123)
Unique sites:
Eu 0.000 0.000 0.000 x1
Y 0.000 0.500 0.500 x2
Sb 0.500 0.500 0.000 x1

The value obtained for the magnetization is 1.93 μB per atom. The calculation puts the uncorrected energy at -29.14 eV/cell. Its volume is 28.87 Å³/atom. For the energy relative to the lowest polymorph listed for this composition, the calculation gives 0.000 eV/atom. For the uncorrected formation energy, the calculation gives -0.453 eV/atom.



SrSnPt2: relaxed, PBE.

abc: 5.761 5.621 13.033
angles: 90.00 90.00 90.00
Space group Pmma (No. 51)
Unique sites:
Sr 0.250 0.000 0.080 x2
Sr 0.250 0.500 0.398 x2
Sn 0.250 0.000 0.804 x2
Sn 0.250 0.500 0.826 x2
Pt 0.000 0.000 0.500 x2
Pt 0.000 0.500 0.000 x2
Pt 0.250 0.259 0.635 x4

The value obtained for the magnetization is 0.00 μB per atom. The calculation puts the uncorrected energy at -78.50 eV/cell. The formation energy comes out at -465 meV per atom. Its volume is 26.38 Å³/atom.



ScTaSi2O8: relaxed, PBE.

abc: 6.549 6.549 5.959
angles: 90.00 90.00 90.00
Space group I-4m2 (No. 119)
Unique sites:
Sc 0.000 0.000 0.000 x2
Ta 0.000 0.500 0.250 x2
Si 0.000 0.000 0.500 x2
Si 0.000 0.500 0.750 x2
O 0.000 0.192 0.324 x8
O 0.000 0.319 0.939 x8

The value obtained for the magnetization is 0.00 μB per atom. The calculation puts the uncorrected energy at -207.80 eV/cell. Its volume is 10.65 Å³/atom. For the uncorrected formation energy, the calculation gives -2.934 eV/atom.



BPN3: relaxed, PBE.

abc: 3.421 3.421 3.421
angles: 90.00 90.00 90.00
Space group Pm-3m (No. 221)
Unique sites:
B 0.000 0.000 0.000 x1
P 0.500 0.500 0.500 x1
N 0.000 0.500 0.500 x3

The value obtained for the magnetization is 0.00 μB per atom. The calculation puts the uncorrected energy at -27.93 eV/cell. Its volume is 8.00 Å³/atom. For the uncorrected formation energy, the calculation gives 1.827 eV/atom.



Mg2AlIn: relaxed, PBE.

abc: 4.371 4.371 9.001
angles: 90.00 90.00 90.00
Space group I-4m2 (No. 119)
Unique sites:
Mg 0.000 0.000 0.000 x2
Mg 0.000 0.500 0.250 x2
Al 0.000 0.500 0.750 x2
In 0.000 0.000 0.500 x2

The value obtained for the magnetization is 0.00 μB per atom. The calculation puts the uncorrected energy at -19.42 eV/cell. The formation energy comes out at -10 meV per atom. Its volume is 21.50 Å³/atom.



Ba8NaN2: relaxed, PBE.

abc: 16.004 8.643 9.794
angles: 90.00 111.19 90.00
Space group C2/m (No. 12)
Unique sites:
Ba 0.129 0.233 0.247 x8
Ba 0.131 0.500 0.704 x4
Ba 0.166 0.000 0.910 x4
Na 0.000 0.000 0.500 x2
N 0.202 0.000 0.184 x4

The value obtained for the magnetization is 0.00 μB per atom. The calculation puts the uncorrected energy at -70.53 eV/cell. Its volume is 57.41 Å³/atom. For the uncorrected formation energy, the calculation gives -0.174 eV/atom.



Li6AgPt2: relaxed, PBE.

abc: 12.350 5.216 4.363
angles: 90.00 105.39 90.00
Space group C2/m (No. 12)
Unique sites:
Li 0.114 0.246 0.095 x8
Li 0.214 0.000 0.662 x4
Ag 0.000 0.000 0.500 x2
Pt 0.114 0.500 0.603 x4

The value obtained for the magnetization is 0.00 μB per atom. The calculation puts the uncorrected energy at -57.99 eV/cell. The formation energy comes out at -287 meV per atom. Its volume is 15.06 Å³/atom. For the energy relative to the lowest polymorph listed for this composition, the calculation gives 0.127 eV/atom.



Cs5Hg2AuO: relaxed, PBE.

abc: 5.142 20.259 18.171
angles: 90.00 90.00 90.00
Space group Cmc2_1 (No. 36)
Unique sites:
Cs 0.000 0.057 0.000 x4
Cs 0.000 0.074 0.217 x4
Cs 0.000 0.147 0.531 x4
Cs 0.000 0.238 0.795 x4
Cs 0.000 0.431 0.175 x4
Hg 0.000 0.323 0.607 x4
Hg 0.000 0.434 0.881 x4
Au 0.000 0.245 0.143 x4
O 0.000 0.029 0.614 x4

The value obtained for the magnetization is 0.02 μB per atom. The calculation puts the uncorrected energy at -69.14 eV/cell. Its volume is 52.59 Å³/atom. For the uncorrected formation energy, the calculation gives -0.464 eV/atom.